# 1
BeCuAu2 | GGA-PBEsol | relaxed

```
BeCuAu2
1.0
4.258 0.000 0.000
0.000 4.260 0.000
-2.129 -2.130 2.969
Cu Au Be
1 2 1
Direct
0.500 0.000 0.000
0.250 0.250 0.500
0.750 0.750 0.500
0.000 0.500 0.000
```

## Properties
Its energy relative to the elements is -34 kJ/mol of formula units. As for the total magnetic moment: 0.00 μB per cell. Its density of states at the Fermi level is 1.09 states/eV/cell.

***

# 2
Be2CuAu2 | GGA-PBEsol | relaxed

```
Be2CuAu2
1.0
3.234 0.000 0.000
0.000 3.234 0.000
-1.617 -1.617 6.186
Cu Au Be
1 2 2
Direct
0.000 0.000 0.000
0.613 0.613 0.227
0.387 0.387 0.773
0.750 0.250 0.500
0.250 0.750 0.500
```

## Properties
Its energy relative to the elements is -44 kJ/mol of formula units. As for the total magnetic moment: 0.00 μB per cell. The value obtained for the energy above the lowest structure with this stoichiometry is 0.00 kcal/mol of atoms. Its density of states at the Fermi level is 1.02 states/eV/cell.

***

# 3
BeCuAu2 | GGA-PBEsol | relaxed

```
BeCuAu2
1.0
-0.081 -2.442 1.693
4.133 -0.280 -0.206
-1.662 3.823 2.826
Cu Au Be
1 2 1
Direct
0.211 0.712 0.422
0.786 0.287 0.572
0.001 0.001 0.003
0.502 0.500 0.004
```

## Properties
Its energy relative to the elements is -37 kJ/mol of formula units. As for the total magnetic moment: 0.00 μB per cell. Its density of states at the Fermi level is 0.87 states/eV/cell.

***

no.,calculated volume (Å³ per cell)
1,53.8
2,64.7
3,53.6